# 1
The following is a PBE-GGA calculation of Li2MgGe2 after structural relaxation, from Alexandria.

Computed properties:
ΔE_f (eV per atom): -0.226
Energy above the lowest structure with this stoichiometry (eV per atom): 0.000
Space group: No. 127

Unit cell a=7.157 b=7.157 c=3.525 alpha=90.00 beta=90.00 gamma=90.00
Atoms (fractional coordinates):
Ge 0.375 0.875 0.000
Ge 0.875 0.625 0.000
Ge 0.125 0.375 0.000
Ge 0.625 0.125 0.000
Li 0.672 0.828 0.500
Li 0.828 0.328 0.500
Li 0.172 0.672 0.500
Li 0.328 0.172 0.500
Mg 0.000 0.000 0.000
Mg 0.500 0.500 0.000

# 2
The following is a PBE-GGA calculation of Li3MgGe after structural relaxation, from Alexandria.

Computed properties:
ΔE_f (eV per atom): -0.286
Energy above the lowest structure with this stoichiometry (eV per atom): 0.000
Space group: No. 63

Unit cell a=4.564 b=4.498 c=9.709 alpha=103.39 beta=118.06 gamma=90.00
Atoms (fractional coordinates):
Li 0.750 0.250 0.500
Li 0.373 0.061 0.123
Li 0.584 0.667 0.333
Li 0.250 0.750 0.500
Li 0.627 0.939 0.877
Li 0.416 0.333 0.667
Ge 0.063 0.156 0.313
Ge 0.937 0.844 0.687
Mg 0.125 0.438 0.875
Mg 0.875 0.562 0.125

# 3
The following is a PBE-GGA calculation of Li2MgMnGe after structural relaxation, from Alexandria.

Computed properties:
ΔE_f (eV per atom): 0.407
Space group: No. 123

Unit cell a=4.789 b=5.025 c=4.789 alpha=90.00 beta=90.00 gamma=90.00
Each line ends with the local moment (μB).
Atoms (fractional coordinates):
Ge 0.000 0.000 0.000  0.10
Li 0.500 0.000 0.000  0.00
Li 0.000 0.000 0.500  0.01
Mg 0.000 0.500 0.000  -0.01
Mn 0.500 0.500 0.500  4.37

# 4
The following is a PBE-GGA calculation of Li3Nd2MgGe4 after structural relaxation, from Alexandria.

Computed properties:
ΔE_f (eV per atom): -0.555
Space group: No. 115

Unit cell a=4.183 b=4.183 c=11.219 alpha=90.00 beta=90.00 gamma=90.00
Atoms (fractional coordinates):
Ge 0.500 0.000 0.653
Ge 0.000 0.500 0.347
Ge 0.000 0.000 0.000
Ge 0.500 0.500 0.000
Mg 0.500 0.500 0.500
Li 0.500 0.000 0.871
Li 0.000 0.500 0.129
Li 0.000 0.000 0.500
Nd 0.000 0.500 0.765
Nd 0.500 0.000 0.235

# 5
The following is a PBE-GGA calculation of LiMgNi2Ge2 after structural relaxation, from Alexandria.

Computed properties:
ΔE_f (eV per atom): -0.347
Space group: No. 164

Unit cell a=4.145 b=4.145 c=5.713 alpha=90.00 beta=90.00 gamma=120.00
Atoms (fractional coordinates):
Ni 0.333 0.667 0.771
Ni 0.667 0.333 0.229
Li 0.000 0.000 0.000
Mg 0.000 0.000 0.500
Ge 0.333 0.667 0.218
Ge 0.667 0.333 0.782

# 6
The following is a PBE-GGA calculation of Li3Mg2GeO6 after structural relaxation, from Alexandria.

Computed properties:
E_form (uncorrected) (eV per formula unit): -24.6
Space group: No. 12

Unit cell a=5.177 b=5.177 c=5.095 alpha=99.87 beta=99.87 gamma=120.02
Each line ends with the local moment (μB).
Atoms (fractional coordinates):
O 0.764 0.764 0.222  0.17
O 0.613 0.924 0.772  0.14
O 0.387 0.076 0.228  0.14
O 0.076 0.387 0.228  0.14
O 0.924 0.613 0.772  0.14
O 0.236 0.236 0.778  0.17
Mg 0.332 0.668 0.000  0.00
Mg 0.668 0.332 0.000  0.00
Li 0.164 0.836 0.500  0.00
Li 0.836 0.164 0.500  0.00
Li 0.500 0.500 0.500  0.00
Ge 0.000 0.000 0.000  -0.01

# 7
The following is a PBE-GGA calculation of LiMgGePb after structural relaxation, from Alexandria.

Computed properties:
ΔE_f (eV per atom): -0.129
Space group: No. 216

Unit cell a=4.952 b=4.952 c=4.952 alpha=60.00 beta=60.00 gamma=60.00
Atoms (fractional coordinates):
Pb 0.000 0.000 0.000
Li 0.250 0.250 0.250
Mg 0.750 0.750 0.750
Ge 0.500 0.500 0.500

# 8
The following is a PBE-GGA calculation of Li2MgGe3Pd4 after structural relaxation, from Alexandria.

Computed properties:
ΔE_f (eV per atom): -0.447
Space group: No. 115

Unit cell a=4.111 b=4.111 c=10.813 alpha=90.00 beta=90.00 gamma=90.00
Atoms (fractional coordinates):
Mg 0.500 0.500 0.500
Pd 0.500 0.000 0.646
Pd 0.000 0.000 0.000
Pd 0.000 0.500 0.354
Pd 0.500 0.500 0.000
Ge 0.000 0.000 0.500
Ge 0.500 0.000 0.868
Ge 0.000 0.500 0.132
Li 0.500 0.000 0.228
Li 0.000 0.500 0.772

# 9
The following is a PBE-GGA calculation of Li2MgGe2Pd2 after structural relaxation, from Alexandria.

Computed properties:
ΔE_f (eV per atom): -0.563
Space group: No. 12

Unit cell a=4.360 b=4.352 c=7.067 alpha=107.85 beta=90.00 gamma=120.06
Atoms (fractional coordinates):
Ge 0.420 0.840 0.259
Ge 0.580 0.160 0.741
Mg 0.000 0.000 0.000
Pd 0.726 0.452 0.176
Pd 0.274 0.548 0.824
Li 0.142 0.284 0.427
Li 0.858 0.716 0.573

# 10
The following is a PBE-GGA calculation of LiMg2Ge2Pd5 after structural relaxation, from Alexandria.

Computed properties:
ΔE_f (eV per atom): -0.486
Space group: No. 127

Unit cell a=3.581 b=9.584 c=9.584 alpha=90.00 beta=90.00 gamma=90.00
Atoms (fractional coordinates):
Pd 0.500 0.429 0.301
Pd 0.500 0.199 0.071
Pd 0.500 0.929 0.199
Pd 0.500 0.301 0.571
Pd 0.500 0.801 0.929
Pd 0.500 0.071 0.801
Pd 0.500 0.571 0.699
Pd 0.500 0.000 0.500
Pd 0.500 0.699 0.429
Pd 0.500 0.500 0.000
Mg 0.000 0.669 0.169
Mg 0.000 0.831 0.669
Mg 0.000 0.169 0.331
Mg 0.000 0.331 0.831
Ge 0.000 0.132 0.632
Ge 0.000 0.868 0.368
Ge 0.000 0.632 0.868
Ge 0.000 0.368 0.132
Li 0.000 0.500 0.500
Li 0.000 0.000 0.000

# 11
The following is a PBE-GGA calculation of LiMgGe2Pd2 after structural relaxation, from Alexandria.

Computed properties:
ΔE_f (eV per atom): -0.513
Space group: No. 164

Unit cell a=4.374 b=4.374 c=5.825 alpha=90.00 beta=90.00 gamma=120.00
Atoms (fractional coordinates):
Ge 0.333 0.667 0.777
Ge 0.667 0.333 0.223
Li 0.000 0.000 0.000
Mg 0.000 0.000 0.500
Pd 0.667 0.333 0.757
Pd 0.333 0.667 0.243

# 12
The following is a PBE-GGA calculation of Li3Pm2MgGe4 after structural relaxation, from Alexandria.

Computed properties:
ΔE_f (eV per atom): -0.552
Space group: No. 115

Unit cell a=4.160 b=4.160 c=11.210 alpha=90.00 beta=90.00 gamma=90.00
Atoms (fractional coordinates):
Pm 0.000 0.500 0.766
Pm 0.500 0.000 0.234
Li 0.500 0.000 0.871
Li 0.000 0.000 0.500
Li 0.000 0.500 0.129
Ge 0.000 0.500 0.346
Ge 0.500 0.500 0.000
Ge 0.500 0.000 0.654
Ge 0.000 0.000 0.000
Mg 0.500 0.500 0.500

# 13
The following is a PBE-GGA calculation of Li2PmMgGe2 after structural relaxation, from Alexandria.

Computed properties:
ΔE_f (eV per atom): -0.525
Space group: No. 164

Unit cell a=4.404 b=4.404 c=6.893 alpha=90.00 beta=90.00 gamma=120.00
Atoms (fractional coordinates):
Ge 0.333 0.667 0.255
Ge 0.667 0.333 0.745
Pm 0.000 0.000 0.000
Mg 0.000 0.000 0.500
Li 0.667 0.333 0.330
Li 0.333 0.667 0.670

# 14
The following is a PBE-GGA calculation of LiPmMgGe2 after structural relaxation, from Alexandria.

Computed properties:
ΔE_f (eV per atom): -0.540
Space group: No. 119

Unit cell a=4.224 b=4.224 c=6.533 alpha=108.86 beta=108.86 gamma=90.00
Atoms (fractional coordinates):
Pm 0.000 0.000 0.000
Li 0.250 0.750 0.500
Ge 0.607 0.607 0.215
Ge 0.393 0.393 0.785
Mg 0.750 0.250 0.500

# 15
The following is a PBE-GGA calculation of LiPrMgGe after structural relaxation, from Alexandria.

Computed properties:
ΔE_f (eV per atom): -0.324
Space group: No. 216

Unit cell a=4.988 b=4.988 c=4.988 alpha=60.00 beta=60.00 gamma=60.00
Atoms (fractional coordinates):
Mg 0.500 0.500 0.500
Li 0.750 0.750 0.750
Ge 0.250 0.250 0.250
Pr 0.000 0.000 0.000

# 16
The following is a PBE-GGA calculation of LiMgGe2Pt5 after structural relaxation, from Alexandria.

Computed properties:
ΔE_f (eV per atom): -0.573
Space group: No. 123

Unit cell a=4.064 b=4.064 c=9.199 alpha=90.00 beta=90.00 gamma=90.00
Atoms (fractional coordinates):
Mg 0.000 0.000 0.500
Ge 0.500 0.500 0.134
Ge 0.500 0.500 0.866
Pt 0.500 0.500 0.500
Pt 0.000 0.500 0.717
Pt 0.000 0.500 0.283
Pt 0.500 0.000 0.717
Pt 0.500 0.000 0.283
Li 0.000 0.000 0.000

# 17
The following is a PBE-GGA calculation of Li2MgGe2Pt after structural relaxation, from Alexandria.

Computed properties:
ΔE_f (eV per atom): 0.001
Space group: No. 139

Unit cell a=5.006 b=5.006 c=6.099 alpha=114.23 beta=114.23 gamma=90.00
Atoms (fractional coordinates):
Ge 0.237 0.237 0.474
Ge 0.763 0.763 0.526
Li 0.250 0.750 0.500
Li 0.750 0.250 0.500
Pt 0.000 0.000 0.000
Mg 0.500 0.500 0.000

# 18
The following is a PBE-GGA calculation of LiPuMgGe after structural relaxation, from Alexandria.

Computed properties:
ΔE_f (eV per atom): -0.154
Space group: No. 216

Unit cell a=4.874 b=4.874 c=4.874 alpha=60.00 beta=60.00 gamma=60.00
Each line ends with the local moment (μB).
Atoms (fractional coordinates):
Li 0.250 0.250 0.250  0.07
Pu 0.500 0.500 0.500  5.46
Ge 0.750 0.750 0.750  -0.03
Mg 0.000 0.000 0.000  0.01

# 19
The following is a PBE-GGA calculation of Li2PuMgGe2 after structural relaxation, from Alexandria.

Computed properties:
ΔE_f (eV per atom): -0.357
Space group: No. 164

Unit cell a=4.418 b=4.418 c=6.687 alpha=90.00 beta=90.00 gamma=120.00
Each line ends with the local moment (μB).
Atoms (fractional coordinates):
Ge 0.667 0.333 0.763  -0.07
Ge 0.333 0.667 0.237  -0.07
Pu 0.000 0.000 0.000  5.06
Li 0.667 0.333 0.320  -0.02
Li 0.333 0.667 0.680  -0.02
Mg 0.000 0.000 0.500  0.00

# 20
The following is a PBE-GGA calculation of RbLi2MgGe after structural relaxation, from Alexandria.

Computed properties:
ΔE_f (eV per atom): -0.066
Space group: No. 123

Unit cell a=5.275 b=5.275 c=5.296 alpha=90.00 beta=90.00 gamma=90.00
Atoms (fractional coordinates):
Rb 0.500 0.500 0.500
Ge 0.000 0.000 0.000
Li 0.500 0.000 0.000
Li 0.000 0.500 0.000
Mg 0.000 0.000 0.500

Quick rundown of energy, same order as above: -31.6, -26.8, -17.2, -40.9, -26.4, -67.9, -12.4, -44.5, -29.0, -90.3, -26.2, -40.8, -22.6, -20.2, -14.2, -48.1, -20.7, -23.1, -31.1, -11.3 eV/cell